Record 1
Entry from the Alexandria database: crystalline UPdSe3 at its relaxed geometry (PBE-GGA).

abc: 8.5787 8.5787 7.0857
angles: 100.01 100.01 93.72
Last column: nearest neighbours and their distance in Å.
Fractional coordinates of all 20 atoms:
U 0.1459 0.3177 0.4920  6 Se 2.70-2.78
U 0.3177 0.1459 0.9920  6 Se 2.70-2.78
U 0.6823 0.8541 0.0080  6 Se 2.70-2.78
U 0.8541 0.6823 0.5080  6 Se 2.70-2.78
Pd 0.0321 0.9679 0.2500  4 Se 2.55-2.64
Pd 0.3014 0.6986 0.7500  4 Se 2.57-2.60
Pd 0.6986 0.3014 0.2500  4 Se 2.57-2.60
Pd 0.9679 0.0321 0.7500  4 Se 2.55-2.64
Se 0.0293 0.2171 0.0980  2 Pd 2.55-2.64, 2 U 2.76-2.78
Se 0.1396 0.6158 0.4010  1 Pd 2.57, 2 U 2.75
Se 0.2171 0.0293 0.5980  2 Pd 2.55-2.64, 2 U 2.76-2.78
Se 0.2930 0.4271 0.8651  1 Pd 2.60, 2 U 2.70-2.73
Se 0.3842 0.8604 0.0990  1 Pd 2.57, 2 U 2.75
Se 0.4271 0.2930 0.3651  1 Pd 2.60, 2 U 2.70-2.73
Se 0.5729 0.7070 0.6349  1 Pd 2.60, 2 U 2.70-2.73
Se 0.6158 0.1396 0.9010  1 Pd 2.57, 2 U 2.75
Se 0.7070 0.5729 0.1349  1 Pd 2.60, 2 U 2.70-2.73
Se 0.7829 0.9707 0.4020  2 Pd 2.55-2.64, 2 U 2.76-2.78
Se 0.8604 0.3842 0.5990  1 Pd 2.57, 2 U 2.75
Se 0.9707 0.7829 0.9020  2 Pd 2.55-2.64, 2 U 2.76-2.78

Results
ΔE_f (raw)	-744.2	meV per atom
E	-6.13	eV per atom
ΔE to the lowest computed polymorph	69	meV/atom
magnetic moment	0.022	μB per atom



Record 2
Entry from the Alexandria database: crystalline BiAs2Ru2 at its relaxed geometry (PBE-GGA).

abc: 3.9698 3.9698 12.0306
angles: 90.00 90.00 90.00
Last column: nearest neighbours and their distance in Å.
Fractional coordinates of all 10 atoms:
Bi 0.0000 0.0000 0.0000  8 Ru 3.19
Bi 0.5000 0.5000 0.5000  8 Ru 3.19
As 0.0000 0.5000 0.2500  4 Ru 2.48
As 0.0000 0.5000 0.7500  4 Ru 2.48
As 0.5000 0.0000 0.2500  4 Ru 2.48
As 0.5000 0.0000 0.7500  4 Ru 2.48
Ru 0.0000 0.0000 0.3740  4 As 2.48
Ru 0.0000 0.0000 0.6260  4 As 2.48
Ru 0.5000 0.5000 0.1260  4 As 2.48
Ru 0.5000 0.5000 0.8740  4 As 2.48

Results
E	-6.25	eV per atom
magnetic moment	0.000	μB per atom
formation enthalpy at 0 K	0.498	eV/f.u.



Record 3
Entry from the Alexandria database: crystalline CaCoH3 at its relaxed geometry (PBE-GGA).

abc: 3.0191 3.0191 4.9185
angles: 90.00 90.00 90.00
Last column: nearest neighbours and their distance in Å.
Fractional coordinates of all 5 atoms:
Ca 0.0000 0.0000 0.0000  5 H 2.19-2.20
Co 0.5000 0.5000 0.4741  4 H 1.68
H 0.0000 0.0000 0.5551  4 H 1.88
H 0.0000 0.5000 0.3264  2 Co 1.68
H 0.5000 0.0000 0.3264  2 Co 1.68

Results
E	-3.71	eV per atom
magnetic moment	0.000	μB per atom



Record 4
Entry from the Alexandria database: crystalline Na6Cu3F14 at its relaxed geometry (PBE-GGA).

abc: 8.0893 8.0893 5.4534
angles: 90.00 90.00 120.00
Last column: nearest neighbours and their distance in Å.
Fractional coordinates of all 23 atoms:
Na 0.0245 0.4685 0.0000  7 F 2.34-2.59
Na 0.2768 0.1970 0.4668  6 F 2.26-2.52
Na 0.4440 0.9755 0.0000  7 F 2.34-2.59
Na 0.5315 0.5560 0.0000  7 F 2.34-2.59
Na 0.8030 0.0799 0.4668  6 F 2.26-2.52
Na 0.9201 0.7232 0.4668  6 F 2.26-2.52
Cu 0.0000 0.0000 0.0039  4 F 1.87-1.89
Cu 0.3333 0.6667 0.5374  4 F 1.87-1.88
Cu 0.6667 0.3333 0.6195  6 F 1.93-1.94
F 0.0000 0.0000 0.6619  1 Cu 1.87
F 0.0735 0.2248 0.1883  1 Cu 1.89
F 0.1512 0.9265 0.1883  1 Cu 1.89
F 0.2001 0.7612 0.7137  1 Cu 1.87
F 0.2388 0.4389 0.7137  1 Cu 1.87
F 0.3333 0.6667 0.1935  1 Cu 1.88
F 0.4445 0.2413 0.8276  1 Cu 1.93
F 0.5345 0.1091 0.4132  1 Cu 1.94
F 0.5611 0.7999 0.7137  1 Cu 1.87
F 0.5745 0.4655 0.4132  1 Cu 1.94
F 0.7587 0.2032 0.8276  1 Cu 1.93
F 0.7752 0.8488 0.1883  1 Cu 1.89
F 0.7968 0.5555 0.8276  1 Cu 1.93
F 0.8909 0.4255 0.4132  1 Cu 1.94

Results
ΔE_f (raw)	-2087.0	meV per atom
E	-4.10	eV per atom
magnetic moment	0.043	μB per atom